# Ce6Sn2RuN PBE-GGA relaxed
# * D(E_F): 26.2 states/eV/f.u.
# * DFT total energy: -6.725 eV/atom
# * uncorrected formation energy: -0.604 eV per atom
data_Ce6Sn2RuN
_cell_length_a 5.084
_cell_length_b 5.084
_cell_length_c 10.334
_cell_angle_alpha 90.00
_cell_angle_beta 90.00
_cell_angle_gamma 90.00
_space_group_name_H-M_alt 'P 4/m m m'
_space_group_IT_number 123
_space_group_name_Hall '-P 4 2'
loop_
_atom_site_label
_atom_site_type_symbol
_atom_site_fract_x
_atom_site_fract_y
_atom_site_fract_z
Ce1 Ce 0.000 0.000 0.225
Ce2 Ce 0.000 0.500 0.000
Ce3 Ce 0.000 0.500 0.500
Sn1 Sn 0.500 0.500 0.241
Ru1 Ru 0.000 0.000 0.500
N1 N 0.000 0.000 0.000

---

# NaNi PBE-GGA relaxed
# * D(E_F): 2.5 states/eV/f.u.
# * DFT total energy: -3.032 eV/atom
data_NaNi
_cell_length_a 5.212
_cell_length_b 7.880
_cell_length_c 13.903
_cell_angle_alpha 90.00
_cell_angle_beta 90.00
_cell_angle_gamma 90.00
_space_group_name_H-M_alt 'F d d d'
_space_group_IT_number 70
loop_
_space_group_symop_operation_xyz
'x,y,z'
'-x,-y,-z'
'-x+1/4,-y+1/4,z'
'x+1/4,y+1/4,-z'
'x,-y+1/4,-z+1/4'
'-x,y+1/4,z+1/4'
'-x+1/4,y,-z+1/4'
'x+1/4,-y,z+1/4'
'x,y+1/2,z+1/2'
'-x,-y+1/2,-z+1/2'
'-x+1/4,-y+3/4,z+1/2'
'x+1/4,y+3/4,-z+1/2'
'x,-y+3/4,-z+3/4'
'-x,y+3/4,z+3/4'
'-x+1/4,y+1/2,-z+3/4'
'x+1/4,-y+1/2,z+3/4'
'x+1/2,y,z+1/2'
'-x+1/2,-y,-z+1/2'
'-x+3/4,-y+1/4,z+1/2'
'x+3/4,y+1/4,-z+1/2'
'x+1/2,-y+1/4,-z+3/4'
'-x+1/2,y+1/4,z+3/4'
'-x+3/4,y,-z+3/4'
'x+3/4,-y,z+3/4'
'x+1/2,y+1/2,z'
'-x+1/2,-y+1/2,-z'
'-x+3/4,-y+3/4,z'
'x+3/4,y+3/4,-z'
'x+1/2,-y+3/4,-z+1/4'
'-x+1/2,y+3/4,z+1/4'
'-x+3/4,y+1/2,-z+1/4'
'x+3/4,-y+1/2,z+1/4'
loop_
_atom_site_label
_atom_site_type_symbol
_atom_site_fract_x
_atom_site_fract_y
_atom_site_fract_z
Na1 Na 0.125 0.288 0.125
Ni1 Ni 0.125 0.125 0.542

---

# SrIn3Au PBE-GGA relaxed
# * D(E_F): 2.6 states/eV/f.u.
# * DFT total energy: -3.031 eV/atom
data_SrIn3Au
_cell_length_a 9.387
_cell_length_b 4.624
_cell_length_c 12.356
_cell_angle_alpha 90.00
_cell_angle_beta 90.00
_cell_angle_gamma 90.00
_space_group_name_H-M_alt 'P n m a'
_space_group_IT_number 62
_space_group_name_Hall '-P 2ac 2n'
loop_
_atom_site_label
_atom_site_type_symbol
_atom_site_fract_x
_atom_site_fract_y
_atom_site_fract_z
Sr1 Sr 0.192 0.250 0.001
In1 In 0.070 0.250 0.403
In2 In 0.102 0.750 0.200
In3 In 0.136 0.750 0.793
Au1 Au 0.110 0.250 0.633

---

# PrScNi2P2 PBE-GGA relaxed
# * D(E_F): 2.8 states/eV/f.u.
# * DFT total energy: -6.724 eV/atom
data_PrScNi2P2
_cell_length_a 3.8983
_cell_length_b 3.8983
_cell_length_c 7.6118
_cell_angle_alpha 90.00
_cell_angle_beta 90.00
_cell_angle_gamma 120.00
_space_group_name_H-M_alt 'P -3 m 1'
_space_group_IT_number 164
_space_group_name_Hall '-P 3 2"'
loop_
_atom_site_label
_atom_site_type_symbol
_atom_site_fract_x
_atom_site_fract_y
_atom_site_fract_z
Pr1 Pr 0.0000 0.0000 0.0000
Sc1 Sc 0.0000 0.0000 0.5000
Ni1 Ni 0.3333 0.6667 0.7223
P1 P 0.3333 0.6667 0.2736

---

# NaSc2Bi PBE-GGA relaxed
# * D(E_F): 5.8 states/eV/f.u.
# * DFT total energy: -4.195 eV/atom
data_NaSc2Bi
_cell_length_a 3.3773
_cell_length_b 3.3773
_cell_length_c 35.6199
_cell_angle_alpha 90.00
_cell_angle_beta 90.00
_cell_angle_gamma 120.00
_space_group_name_H-M_alt 'R -3 m'
_space_group_IT_number 166
_space_group_name_Hall '-R 3 2"'
loop_
_atom_site_label
_atom_site_type_symbol
_atom_site_fract_x
_atom_site_fract_y
_atom_site_fract_z
Na1 Na 0.0000 0.0000 0.0000
Sc1 Sc 0.0000 0.0000 0.4164
Bi1 Bi 0.0000 0.0000 0.5000

---

# DyPuHg4 PBE-GGA relaxed
# * D(E_F): 14.3 states/eV/f.u.
# * DFT total energy: -3.444 eV/atom
data_DyPuHg4
_cell_length_a 8.447
_cell_length_b 8.447
_cell_length_c 8.447
_cell_angle_alpha 90.00
_cell_angle_beta 90.00
_cell_angle_gamma 90.00
_space_group_name_H-M_alt 'F -4 3 m'
_space_group_IT_number 216
_space_group_name_Hall 'F -4 2 3'
loop_
_atom_site_label
_atom_site_type_symbol
_atom_site_fract_x
_atom_site_fract_y
_atom_site_fract_z
Dy1 Dy 0.000 0.000 0.000
Pu1 Pu 0.250 0.250 0.250
Hg1 Hg 0.125 0.125 0.625

---

# CsFe2SnAs PBE-GGA relaxed
# * D(E_F): 7.9 states/eV/f.u.
# * DFT total energy: -4.287 eV/atom
data_CsFe2SnAs
_cell_length_a 4.557
_cell_length_b 4.557
_cell_length_c 6.163
_cell_angle_alpha 90.00
_cell_angle_beta 90.00
_cell_angle_gamma 90.00
_space_group_name_H-M_alt 'P 4/m m m'
_space_group_IT_number 123
_space_group_name_Hall '-P 4 2'
loop_
_atom_site_label
_atom_site_type_symbol
_atom_site_fract_x
_atom_site_fract_y
_atom_site_fract_z
Cs1 Cs 0.000 0.000 0.000
Fe1 Fe 0.000 0.500 0.500
Sn1 Sn 0.500 0.500 0.000
As1 As 0.000 0.000 0.500

---

# RbLaAuSe2 PBE-GGA relaxed
# * D(E_F): 2.7 states/eV/f.u.
# * DFT total energy: -4.370 eV/atom
# * uncorrected formation energy: -1.142 eV per atom
data_RbLaAuSe2
_cell_length_a 8.056
_cell_length_b 5.080
_cell_length_c 8.535
_cell_angle_alpha 90.00
_cell_angle_beta 98.91
_cell_angle_gamma 90.00
_space_group_name_H-M_alt 'P 1 2/c 1'
_space_group_IT_number 13
_space_group_name_Hall '-P 2yc'
loop_
_atom_site_label
_atom_site_type_symbol
_atom_site_fract_x
_atom_site_fract_y
_atom_site_fract_z
Rb1 Rb 0.000 0.137 0.250
La1 La 0.500 0.491 0.750
Au1 Au 0.500 0.000 0.000
Se1 Se 0.257 0.341 0.967

---

# YErRu4 PBE-GGA relaxed
# * D(E_F): 6.6 states/eV/f.u.
# * DFT total energy: -8.334 eV/atom
data_YErRu4
_cell_length_a 7.533
_cell_length_b 7.533
_cell_length_c 7.533
_cell_angle_alpha 90.00
_cell_angle_beta 90.00
_cell_angle_gamma 90.00
_space_group_name_H-M_alt 'F -4 3 m'
_space_group_IT_number 216
_space_group_name_Hall 'F -4 2 3'
loop_
_atom_site_label
_atom_site_type_symbol
_atom_site_fract_x
_atom_site_fract_y
_atom_site_fract_z
Y1 Y 0.000 0.000 0.000
Er1 Er 0.250 0.250 0.250
Ru1 Ru 0.125 0.125 0.625

---

# Ac3CoGe3 PBE-GGA relaxed
# * D(E_F): 6.3 states/eV/f.u.
# * DFT total energy: -5.131 eV/atom
data_Ac3CoGe3
_cell_length_a 7.384
_cell_length_b 6.056
_cell_length_c 9.301
_cell_angle_alpha 90.00
_cell_angle_beta 103.99
_cell_angle_gamma 90.00
_space_group_name_H-M_alt 'P 1 21/m 1'
_space_group_IT_number 11
_space_group_name_Hall '-P 2yb'
loop_
_atom_site_label
_atom_site_type_symbol
_atom_site_fract_x
_atom_site_fract_y
_atom_site_fract_z
Ac1 Ac 0.007 0.250 0.363
Ac2 Ac 0.188 0.250 0.931
Ac3 Ac 0.492 0.750 0.659
Co1 Co 0.367 0.750 0.212
Ge1 Ge 0.171 0.750 0.360
Ge2 Ge 0.292 0.750 0.961
Ge3 Ge 0.333 0.250 0.641

---

# PrNdCu3 PBE-GGA relaxed
# * D(E_F): 4.7 states/eV/f.u.
# * DFT total energy: -4.554 eV/atom
data_PrNdCu3
_cell_length_a 3.818
_cell_length_b 26.232
_cell_length_c 4.349
_cell_angle_alpha 90.00
_cell_angle_beta 90.00
_cell_angle_gamma 90.00
_space_group_name_H-M_alt 'C m c m'
_space_group_IT_number 63
_space_group_name_Hall '-C 2c 2'
loop_
_atom_site_label
_atom_site_type_symbol
_atom_site_fract_x
_atom_site_fract_y
_atom_site_fract_z
Pr1 Pr 0.000 0.070 0.250
Nd1 Nd 0.000 0.203 0.750
Cu1 Cu 0.000 0.332 0.750
Cu2 Cu 0.000 0.383 0.250
Cu3 Cu 0.000 0.477 0.250

---

# YTmInSn PBE-GGA relaxed
# * D(E_F): 3.3 states/eV/f.u.
# * DFT total energy: -4.909 eV/atom
data_YTmInSn
_cell_length_a 7.508
_cell_length_b 7.508
_cell_length_c 7.508
_cell_angle_alpha 90.00
_cell_angle_beta 90.00
_cell_angle_gamma 90.00
_space_group_name_H-M_alt 'F -4 3 m'
_space_group_IT_number 216
_space_group_name_Hall 'F -4 2 3'
loop_
_atom_site_label
_atom_site_type_symbol
_atom_site_fract_x
_atom_site_fract_y
_atom_site_fract_z
Y1 Y 0.000 0.000 0.000
Tm1 Tm 0.000 0.000 0.500
In1 In 0.250 0.250 0.250
Sn1 Sn 0.250 0.250 0.750